A plane-wave DFT calculation with PBE was carried out for TcAg2HgPt after structural relaxation.

Space group ... P4/mmm (123)
E_form ... 1007 meV/atom
Mass density ... 9.24 Mg/m³
Size of the total moment ... 2.56 μB per cell

a = 5.1603 Å, b = 5.1603 Å, c = 4.7876 Å
α = 90.00°, β = 90.00°, γ = 90.00°
Fractional positions:
Tc1 0.0000 0.0000 0.0000
Ag1 0.0000 0.5000 0.5000
Ag2 0.5000 0.0000 0.5000
Hg1 0.5000 0.5000 0.0000
Pt1 0.0000 0.0000 0.5000



A plane-wave DFT calculation with PBE was carried out for TlAgPb after structural relaxation.

Space group ... P6_3/mmc (194)
E_form ... 251 meV/atom
Mass density ... 10.66 Mg/m³
Size of the total moment ... 0.00 μB per cell

a = 5.4219 Å, b = 5.4219 Å, c = 6.3570 Å
α = 90.00°, β = 90.00°, γ = 120.00°
Fractional positions:
Tl1 0.3333 0.6667 0.2500
Tl2 0.6667 0.3333 0.7500
Ag1 0.0000 0.0000 0.0000
Ag2 0.0000 0.0000 0.5000
Pb1 0.3333 0.6667 0.7500
Pb2 0.6667 0.3333 0.2500



A plane-wave DFT calculation with PBE was carried out for KAs after structural relaxation.

Space group ... P4_2/mnm (136)
E_form ... -209 meV/atom
Mass density ... 2.26 Mg/m³
Energy relative to the lowest polymorph listed for this composition ... 49.1 kJ/mol of formula units
Size of the total moment ... 3.86 μB per cell

a = 7.1377 Å, b = 7.1377 Å, c = 6.5867 Å
α = 90.00°, β = 90.00°, γ = 90.00°
Fractional positions:
K1 0.1903 0.1903 0.0000
K2 0.3097 0.6903 0.5000
K3 0.6903 0.3097 0.5000
K4 0.8097 0.8097 0.0000
As1 0.1156 0.1156 0.5000
As2 0.3844 0.6156 0.0000
As3 0.6156 0.3844 0.0000
As4 0.8844 0.8844 0.5000



A plane-wave DFT calculation with PBE was carried out for TiVOs after structural relaxation.

Space group ... R3m (160)
E_form ... -19 meV/atom
Mass density ... 10.74 Mg/m³
Energy relative to the lowest polymorph listed for this composition ... 124.7 kJ/mol of formula units
Size of the total moment ... 0.00 μB per cell

a = 6.5308 Å, b = 6.5308 Å, c = 6.5308 Å
α = 25.27°, β = 25.27°, γ = 25.27°
Fractional positions:
Ti1 0.0000 0.0000 0.0000
V1 0.2205 0.2205 0.2205
Os1 0.7822 0.7822 0.7822



A plane-wave DFT calculation with PBE was carried out for Ca2La2Pd after structural relaxation.

Space group ... P4/mbm (127)
E_form ... -48 meV/atom
Mass density ... 4.63 Mg/m³
Energy relative to the lowest polymorph listed for this composition ... 32.6 kJ/mol of formula units
Size of the total moment ... 0.00 μB per cell

a = 7.3789 Å, b = 7.3789 Å, c = 6.1218 Å
α = 90.00°, β = 90.00°, γ = 90.00°
Fractional positions:
Ca1 0.1621 0.3379 0.0000
Ca2 0.3379 0.8379 0.0000
Ca3 0.6621 0.1621 0.0000
Ca4 0.8379 0.6621 0.0000
La1 0.1662 0.6662 0.5000
La2 0.3338 0.1662 0.5000
La3 0.6662 0.8338 0.5000
La4 0.8338 0.3338 0.5000
Pd1 0.0000 0.0000 0.0000
Pd2 0.5000 0.5000 0.0000



A plane-wave DFT calculation with PBE was carried out for Th2ZnNi3 after structural relaxation.

Space group ... Imm2 (44)
E_form ... -415 meV/atom
Mass density ... 10.08 Mg/m³
Energy relative to the lowest polymorph listed for this composition ... 0.0 kJ/mol of formula units
Size of the total moment ... 0.00 μB per cell

a = 8.3474 Å, b = 8.3474 Å, c = 8.3474 Å
α = 153.47°, β = 153.39°, γ = 37.93°
Fractional positions:
Th1 0.0000 0.0000 0.0000
Th2 0.7289 0.2289 0.5000
Zn1 0.3984 0.3984 0.0000
Ni1 0.1528 0.6528 0.5000
Ni2 0.3053 0.8053 0.5000
Ni3 0.5565 0.5565 0.0000



| no. | N(E_F) (states/eV per cell) |
| --- | --- |
| 1 | 3.90 |
| 2 | 3.78 |
| 3 | 5.13 |
| 4 | 3.51 |
| 5 | 18.55 |
| 6 | 4.22 |